! PmCrAgO4 (GGA+U, optimized geometry); values from VASP
! * calculated volume: 248.50 Å³ per cell
! * symmetry: No. 11
! * raw total energy: -6.825 eV/atom
&SYSTEM
  ibrav = 0, nat = 14, ntyp = 4
/
ATOMIC_SPECIES
O 16.00 O.upf
Cr 52.00 Cr.upf
Pm 145.00 Pm.upf
Ag 107.87 Ag.upf
CELL_PARAMETERS angstrom
-0.8862 -3.0917 -5.1717
6.0000 0.9027 -1.5677
1.9255 -4.4765 4.7917
ATOMIC_POSITIONS crystal
O 0.0616 0.5327 0.3204
Cr 0.2502 0.7500 0.3127
Pm 0.1974 0.2500 0.5441
Ag 0.4421 0.7500 0.8654
O 0.9384 0.4673 0.6796
Ag 0.5579 0.2500 0.1346
Cr 0.7498 0.2500 0.6873
O 0.9384 0.0327 0.6796
O 0.5362 0.2500 0.8235
O 0.5334 0.2500 0.4343
Pm 0.8026 0.7500 0.4559
O 0.4666 0.7500 0.5657
O 0.0616 0.9673 0.3204
O 0.4638 0.7500 0.1765


! PmCr2AgO8 (GGA+U, optimized geometry); values from VASP
! * calculated volume: 173.70 Å³ per cell
! * symmetry: No. 119
! * raw total energy: -6.768 eV/atom
&SYSTEM
  ibrav = 0, nat = 12, ntyp = 4
/
ATOMIC_SPECIES
O 16.00 O.upf
Pm 145.00 Pm.upf
Cr 52.00 Cr.upf
Ag 107.87 Ag.upf
CELL_PARAMETERS angstrom
6.1092 0.0080 0.0000
-2.7024 5.4790 0.0000
-1.7034 -2.7435 5.1859
ATOMIC_POSITIONS crystal
O 0.3356 0.5125 0.1769
O 0.7875 0.1016 0.6860
Pm 0.0000 0.0000 0.0000
Cr 0.7500 0.2500 0.5000
Cr 0.5000 0.5000 0.0000
O 0.8984 0.2125 0.3140
O 0.8413 0.6644 0.1769
O 0.4875 0.6644 0.8231
O 0.3356 0.1587 0.8231
O 0.4156 0.1016 0.3140
Ag 0.2500 0.7500 0.5000
O 0.8984 0.5844 0.6860


! PmCrAgO5 (GGA+U, optimized geometry); values from VASP
! * calculated volume: 291.84 Å³ per cell
! * symmetry: No. 15
! * raw total energy: -6.644 eV/atom
&SYSTEM
  ibrav = 0, nat = 16, ntyp = 4
/
ATOMIC_SPECIES
O 16.00 O.upf
Pm 145.00 Pm.upf
Ag 107.87 Ag.upf
Cr 52.00 Cr.upf
CELL_PARAMETERS angstrom
-0.2779 1.3916 -6.0691
-2.7623 -5.5336 -0.7722
-5.2738 5.1885 4.3099
ATOMIC_POSITIONS crystal
O 0.2268 0.7244 0.8941
O 0.7244 0.2268 0.3941
O 0.9190 0.0810 0.7500
O 0.2756 0.7732 0.6059
Pm 0.0000 0.0000 0.0000
O 0.0810 0.9190 0.2500
Pm 0.0000 0.0000 0.5000
O 0.3534 0.2819 0.1415
O 0.7732 0.2756 0.1059
O 0.2819 0.3534 0.6415
Ag 0.6877 0.3123 0.7500
O 0.7181 0.6466 0.3585
O 0.6466 0.7181 0.8585
Ag 0.3123 0.6877 0.2500
Cr 0.6417 0.3583 0.2500
Cr 0.3583 0.6417 0.7500


! PrCr2AgO8 (GGA+U, optimized geometry); values from VASP
! * calculated volume: 178.12 Å³ per cell
! * symmetry: No. 119
! * raw total energy: -6.765 eV/atom
&SYSTEM
  ibrav = 0, nat = 12, ntyp = 4
/
ATOMIC_SPECIES
O 16.00 O.upf
Ag 107.87 Ag.upf
Cr 52.00 Cr.upf
Pr 140.91 Pr.upf
CELL_PARAMETERS angstrom
6.1600 0.0131 0.0000
-2.7204 5.5268 0.0000
-1.7198 -2.7700 5.2264
ATOMIC_POSITIONS crystal
O 0.4642 0.6480 0.8162
O 0.4120 0.0882 0.3237
O 0.9118 0.2355 0.3237
Ag 0.0000 0.0000 0.0000
Cr 0.7500 0.2500 0.5000
O 0.3520 0.1683 0.8162
O 0.8317 0.6480 0.1838
Pr 0.2500 0.7500 0.5000
Cr 0.5000 0.5000 0.0000
O 0.7645 0.0882 0.6763
O 0.3520 0.5358 0.1838
O 0.9118 0.5880 0.6763


! CrAgPtO4 (GGA+U, optimized geometry); values from VASP
! * calculated volume: 177.78 Å³ per cell
! * symmetry: No. 74
! * raw total energy: -6.104 eV/atom
&SYSTEM
  ibrav = 0, nat = 14, ntyp = 4
/
ATOMIC_SPECIES
Pt 195.08 Pt.upf
Ag 107.87 Ag.upf
O 16.00 O.upf
Cr 52.00 Cr.upf
CELL_PARAMETERS angstrom
6.1979 0.0000 0.0000
-3.0989 5.4699 -0.4580
0.0000 -3.3598 5.5252
ATOMIC_POSITIONS crystal
Pt 0.5000 0.0000 0.5000
Ag 0.8576 0.7153 0.1076
O 0.2689 0.5378 0.3168
O 0.6899 0.9621 0.7311
O 0.2689 0.5378 0.7211
O 0.3101 0.0379 0.2689
Cr 0.5000 0.5000 0.5000
Ag 0.1424 0.2847 0.8924
O 0.7277 0.0379 0.2689
O 0.7311 0.4622 0.2789
Cr 0.0000 0.5000 0.5000
Pt 0.5000 0.0000 0.0000
O 0.7311 0.4622 0.6832
O 0.2723 0.9621 0.7311


! RbCr2AgO6 (GGA+U, optimized geometry); values from VASP
! * calculated volume: 361.02 Å³ per cell
! * symmetry: No. 15
! * raw total energy: -6.083 eV/atom
&SYSTEM
  ibrav = 0, nat = 20, ntyp = 4
/
ATOMIC_SPECIES
O 16.00 O.upf
Cr 52.00 Cr.upf
Ag 107.87 Ag.upf
Rb 85.47 Rb.upf
CELL_PARAMETERS angstrom
-0.6252 -1.6004 -4.7898
0.6462 -8.1711 2.1661
-8.4428 0.6592 0.4020
ATOMIC_POSITIONS crystal
O 0.8957 0.4472 0.7892
O 0.5696 0.3740 0.2803
O 0.2640 0.9516 0.7624
O 0.7360 0.0484 0.2376
O 0.1043 0.5528 0.2108
Cr 0.2327 0.3670 0.2124
O 0.3957 0.7892 0.4472
O 0.0696 0.2803 0.3740
Cr 0.7327 0.2124 0.3670
O 0.2360 0.2376 0.0484
Ag 0.2500 0.3465 0.6535
O 0.4304 0.6260 0.7197
O 0.9304 0.7197 0.6260
Cr 0.7673 0.6330 0.7876
Rb 0.7500 0.1273 0.8727
O 0.7640 0.7624 0.9516
O 0.6043 0.2108 0.5528
Rb 0.2500 0.8727 0.1273
Cr 0.2673 0.7876 0.6330
Ag 0.7500 0.6535 0.3465


! RbCrAg2O4 (GGA+U, optimized geometry); values from VASP
! * calculated volume: 132.88 Å³ per cell
! * symmetry: No. 121
! * raw total energy: -5.204 eV/atom
&SYSTEM
  ibrav = 0, nat = 8, ntyp = 4
/
ATOMIC_SPECIES
Cr 52.00 Cr.upf
Rb 85.47 Rb.upf
O 16.00 O.upf
Ag 107.87 Ag.upf
CELL_PARAMETERS angstrom
5.9086 0.2455 0.0000
-0.2455 5.9086 0.0000
-2.8316 -3.0770 3.7996
ATOMIC_POSITIONS crystal
Cr 0.5000 0.5000 0.0001
Rb 0.0000 0.0000 0.0000
O 0.8038 0.4687 0.2725
Ag 0.2500 0.7500 0.5001
O 0.5314 0.5314 0.7277
O 0.1963 0.1963 0.7277
O 0.4687 0.8038 0.2725
Ag 0.7500 0.2500 0.5001


! RbCrAgO4 (GGA+U, optimized geometry); values from VASP
! * calculated volume: 265.53 Å³ per cell
! * symmetry: No. 11
! * raw total energy: -5.642 eV/atom
&SYSTEM
  ibrav = 0, nat = 14, ntyp = 4
/
ATOMIC_SPECIES
Ag 107.87 Ag.upf
O 16.00 O.upf
Cr 52.00 Cr.upf
Rb 85.47 Rb.upf
CELL_PARAMETERS angstrom
5.6938 0.0000 -1.0454
0.0000 5.8651 0.0000
-3.6264 0.0000 8.6170
ATOMIC_POSITIONS crystal
Ag 0.1578 0.2500 0.4278
O 0.4262 0.7500 0.3248
O 0.0589 0.0177 0.8089
Cr 0.1180 0.7500 0.3017
O 0.9411 0.9823 0.1911
O 0.5738 0.2500 0.6752
Cr 0.8820 0.2500 0.6983
O 0.8425 0.2500 0.5070
O 0.1575 0.7500 0.4930
Rb 0.5933 0.7500 0.8494
O 0.0589 0.4823 0.8089
O 0.9411 0.5177 0.1911
Ag 0.8422 0.7500 0.5722
Rb 0.4067 0.2500 0.1506


! Rb3Cr2AgO8 (GGA+U, optimized geometry); values from VASP
! * calculated volume: 253.63 Å³ per cell
! * symmetry: No. 164
! * raw total energy: -5.765 eV/atom
&SYSTEM
  ibrav = 0, nat = 14, ntyp = 4
/
ATOMIC_SPECIES
Rb 85.47 Rb.upf
O 16.00 O.upf
Cr 52.00 Cr.upf
Ag 107.87 Ag.upf
CELL_PARAMETERS angstrom
6.0770 0.0000 0.0000
-3.0385 5.2628 0.0000
0.0000 0.0000 7.9302
ATOMIC_POSITIONS crystal
Rb 0.3333 0.6667 0.6705
O 0.1833 0.8167 0.3052
Cr 0.6667 0.3333 0.7675
Rb 0.0000 0.0000 0.0000
O 0.6667 0.3333 0.9751
O 0.3333 0.6667 0.0249
O 0.8167 0.6334 0.6948
Cr 0.3333 0.6667 0.2325
O 0.3666 0.1833 0.6948
Ag 0.0000 0.0000 0.5000
O 0.1833 0.3666 0.3052
O 0.6334 0.8167 0.3052
Rb 0.6667 0.3333 0.3295
O 0.8167 0.1833 0.6948


! Cr2AgRuO8 (GGA+U, optimized geometry); values from VASP
! * calculated volume: 174.18 Å³ per cell
! * symmetry: No. 147
! * raw total energy: -6.470 eV/atom
&SYSTEM
  ibrav = 0, nat = 12, ntyp = 4
/
ATOMIC_SPECIES
Cr 52.00 Cr.upf
O 16.00 O.upf
Ru 101.07 Ru.upf
Ag 107.87 Ag.upf
CELL_PARAMETERS angstrom
-3.0469 -0.8872 4.5407
5.3855 -1.2977 -0.0190
1.4572 6.0159 2.1533
ATOMIC_POSITIONS crystal
Cr 0.3333 0.6667 0.7637
O 0.8359 0.1660 0.3199
Cr 0.6667 0.3333 0.2363
O 0.6698 0.8359 0.6801
Ru 0.0000 0.0000 0.5000
O 0.8340 0.6698 0.3199
Ag 0.0000 0.0000 0.0000
O 0.3333 0.6667 0.0112
O 0.1641 0.8340 0.6801
O 0.3302 0.1641 0.3199
O 0.1660 0.3302 0.6801
O 0.6667 0.3333 0.9888


! CrAgS2O8 (GGA+U, optimized geometry); values from VASP
! * calculated volume: 161.94 Å³ per cell
! * symmetry: No. 12
! * raw total energy: -6.185 eV/atom
&SYSTEM
  ibrav = 0, nat = 12, ntyp = 4
/
ATOMIC_SPECIES
S 32.06 S.upf
O 16.00 O.upf
Cr 52.00 Cr.upf
Ag 107.87 Ag.upf
CELL_PARAMETERS angstrom
4.8628 -0.1002 -0.1863
2.1543 4.3607 -0.1863
0.0350 0.0213 7.5580
ATOMIC_POSITIONS crystal
S 0.6538 0.6538 0.2087
O 0.2212 0.6876 0.8094
O 0.7788 0.3124 0.1906
Cr 0.0000 0.0000 0.0000
O 0.6876 0.2212 0.8094
O 0.2670 0.2670 0.6157
O 0.7660 0.7660 0.0596
Ag 0.0000 0.0000 0.5000
S 0.3462 0.3462 0.7913
O 0.7330 0.7330 0.3843
O 0.2340 0.2340 0.9404
O 0.3124 0.7788 0.1906


! ScCr2AgO8 (GGA+U, optimized geometry); values from VASP
! * calculated volume: 154.43 Å³ per cell
! * symmetry: No. 119
! * raw total energy: -6.786 eV/atom
&SYSTEM
  ibrav = 0, nat = 12, ntyp = 4
/
ATOMIC_SPECIES
Ag 107.87 Ag.upf
O 16.00 O.upf
Sc 44.96 Sc.upf
Cr 52.00 Cr.upf
CELL_PARAMETERS angstrom
-4.7697 3.4239 0.3154
1.4277 -3.0416 4.8252
4.5164 3.6284 -1.0045
ATOMIC_POSITIONS crystal
Ag 0.0000 0.0000 0.0000
O 0.3498 0.5472 0.1974
Sc 0.2500 0.7500 0.5000
Cr 0.7500 0.2500 0.5000
O 0.8477 0.6502 0.1974
O 0.9287 0.2501 0.3214
Cr 0.5000 0.5000 0.0000
O 0.9287 0.6073 0.6786
O 0.4528 0.6502 0.8026
O 0.3498 0.1523 0.8026
O 0.7499 0.0713 0.6786
O 0.3927 0.0713 0.3214


! CrAgSe2O8 (GGA+U, optimized geometry); values from VASP
! * calculated volume: 167.01 Å³ per cell
! * symmetry: No. 148
! * raw total energy: -5.532 eV/atom
&SYSTEM
  ibrav = 0, nat = 12, ntyp = 4
/
ATOMIC_SPECIES
O 16.00 O.upf
Ag 107.87 Ag.upf
Cr 52.00 Cr.upf
Se 78.96 Se.upf
CELL_PARAMETERS angstrom
-0.6780 4.6786 -1.4291
-3.4732 1.0832 -3.3399
-6.6530 2.9308 4.2176
ATOMIC_POSITIONS crystal
O 0.3858 0.7361 0.8463
Ag 0.5000 0.5000 0.5000
O 0.2639 0.9682 0.1537
O 0.1895 0.1895 0.4314
O 0.9682 0.6142 0.1537
O 0.0318 0.3858 0.8463
Cr 0.0000 0.0000 0.0000
O 0.7361 0.0318 0.8463
O 0.6142 0.2639 0.1537
Se 0.7408 0.7408 0.7777
Se 0.2592 0.2592 0.2223
O 0.8105 0.8105 0.5686


! SmCr2AgO8 (GGA+U, optimized geometry); values from VASP
! * calculated volume: 172.27 Å³ per cell
! * symmetry: No. 119
! * raw total energy: -6.764 eV/atom
&SYSTEM
  ibrav = 0, nat = 12, ntyp = 4
/
ATOMIC_SPECIES
Sm 150.36 Sm.upf
O 16.00 O.upf
Cr 52.00 Cr.upf
Ag 107.87 Ag.upf
CELL_PARAMETERS angstrom
-2.3829 4.7976 -2.9030
0.5833 -5.1088 -3.2684
-3.8409 -1.3176 4.5424
ATOMIC_POSITIONS crystal
Sm 0.2500 0.7500 0.5000
O 0.7617 0.0846 0.6771
O 0.8353 0.6486 0.1867
O 0.9154 0.2383 0.3229
O 0.4076 0.0846 0.3229
O 0.3514 0.5381 0.1867
Cr 0.7500 0.2500 0.5000
Cr 0.5000 0.5000 0.0000
O 0.3514 0.1647 0.8133
O 0.4619 0.6486 0.8133
O 0.9154 0.5924 0.6771
Ag 0.0000 0.0000 0.0000


! Sm2CrAgO6 (GGA+U, optimized geometry); values from VASP
! * calculated volume: 146.86 Å³ per cell
! * symmetry: No. 99
! * raw total energy: -6.990 eV/atom
&SYSTEM
  ibrav = 0, nat = 10, ntyp = 4
/
ATOMIC_SPECIES
Ag 107.87 Ag.upf
O 16.00 O.upf
Sm 150.36 Sm.upf
Cr 52.00 Cr.upf
CELL_PARAMETERS angstrom
5.1610 0.0000 0.0000
0.0000 5.3344 0.0000
0.0000 0.0000 5.3344
ATOMIC_POSITIONS crystal
Ag 0.5113 0.5000 0.5000
O 0.1015 0.5000 0.5000
O 0.7418 0.2264 0.2264
O 0.2700 0.0000 0.0000
Sm 0.9952 0.0000 0.5000
Cr 0.6064 0.0000 0.0000
O 0.7418 0.2264 0.7736
Sm 0.9952 0.5000 0.0000
O 0.7418 0.7736 0.7736
O 0.7418 0.7736 0.2264


! SrCrAgO4 (GGA+U, optimized geometry); values from VASP
! * calculated volume: 266.75 Å³ per cell
! * symmetry: No. 11
! * raw total energy: -6.112 eV/atom
&SYSTEM
  ibrav = 0, nat = 14, ntyp = 4
/
ATOMIC_SPECIES
Ag 107.87 Ag.upf
Cr 52.00 Cr.upf
Sr 87.62 Sr.upf
O 16.00 O.upf
CELL_PARAMETERS angstrom
-4.7625 -3.2984 2.2808
3.0150 -4.7146 -0.5224
1.6578 0.2219 7.5651
ATOMIC_POSITIONS crystal
Ag 0.2575 0.2500 0.0786
Cr 0.3176 0.7500 0.3136
Sr 0.7879 0.7500 0.4323
O 0.3723 0.7500 0.5227
O 0.8543 0.0081 0.6955
O 0.4235 0.2500 0.8138
Sr 0.2121 0.2500 0.5677
Ag 0.7425 0.7500 0.9214
O 0.1457 0.5081 0.3045
O 0.6277 0.2500 0.4773
O 0.8543 0.4919 0.6955
Cr 0.6824 0.2500 0.6864
O 0.1457 0.9919 0.3045
O 0.5765 0.7500 0.1862


! SrCr2AgO8 (GGA+U, optimized geometry); values from VASP
! * calculated volume: 166.54 Å³ per cell
! * symmetry: No. 148
! * raw total energy: -6.233 eV/atom
&SYSTEM
  ibrav = 0, nat = 12, ntyp = 4
/
ATOMIC_SPECIES
O 16.00 O.upf
Sr 87.62 Sr.upf
Cr 52.00 Cr.upf
Ag 107.87 Ag.upf
CELL_PARAMETERS angstrom
-3.9902 -2.6309 -1.9166
0.7445 -4.6484 -2.0869
-2.1616 -5.5067 5.1415
ATOMIC_POSITIONS crystal
O 0.2910 0.9514 0.1861
Sr 0.5000 0.5000 0.5000
O 0.5715 0.2910 0.1861
Cr 0.7512 0.7512 0.7463
O 0.7090 0.0486 0.8139
O 0.9514 0.5715 0.1861
O 0.0486 0.4285 0.8139
Ag 0.0000 0.0000 0.0000
O 0.4285 0.7090 0.8139
Cr 0.2488 0.2488 0.2537
O 0.1726 0.1726 0.4823
O 0.8274 0.8274 0.5177


! SrCrAg2O4 (GGA+U, optimized geometry); values from VASP
! * calculated volume: 132.49 Å³ per cell
! * symmetry: No. 42
! * raw total energy: -5.608 eV/atom
&SYSTEM
  ibrav = 0, nat = 8, ntyp = 4
/
ATOMIC_SPECIES
Sr 87.62 Sr.upf
Ag 107.87 Ag.upf
O 16.00 O.upf
Cr 52.00 Cr.upf
CELL_PARAMETERS angstrom
-2.8488 -4.3112 1.2003
2.6771 -0.4893 4.5537
-3.1000 5.1079 -0.7132
ATOMIC_POSITIONS crystal
Sr 0.0006 0.0006 0.0011
Ag 0.7502 0.2502 0.5005
O 0.5950 0.5950 0.7859
O 0.8083 0.4051 0.2134
O 0.4051 0.8083 0.2134
Cr 0.4999 0.4999 0.9998
O 0.1910 0.1910 0.7859
Ag 0.2502 0.7502 0.5005


! CrTc2AgO8 (GGA+U, optimized geometry); values from VASP
! * calculated volume: 184.27 Å³ per cell
! * symmetry: No. 164
! * raw total energy: -7.102 eV/atom
&SYSTEM
  ibrav = 0, nat = 12, ntyp = 4
/
ATOMIC_SPECIES
Tc 98.00 Tc.upf
O 16.00 O.upf
Cr 52.00 Cr.upf
Ag 107.87 Ag.upf
CELL_PARAMETERS angstrom
5.7297 0.0000 0.0000
-2.8649 4.9621 0.0000
0.0000 0.0000 6.4811
ATOMIC_POSITIONS crystal
Tc 0.6667 0.3333 0.2317
O 0.6789 0.8387 0.6832
O 0.1613 0.8402 0.6832
Tc 0.3333 0.6667 0.7683
O 0.3211 0.1613 0.3168
Cr 0.0000 0.0000 0.5000
O 0.6667 0.3333 0.9637
O 0.8387 0.1598 0.3168
Ag 0.0000 0.0000 0.0000
O 0.3333 0.6667 0.0363
O 0.8402 0.6789 0.3168
O 0.1598 0.3211 0.6832


! Cr2AgTeO8 (GGA+U, optimized geometry); values from VASP
! * calculated volume: 189.61 Å³ per cell
! * symmetry: No. 147
! * raw total energy: -5.943 eV/atom
&SYSTEM
  ibrav = 0, nat = 12, ntyp = 4
/
ATOMIC_SPECIES
O 16.00 O.upf
Ag 107.87 Ag.upf
Cr 52.00 Cr.upf
Te 127.60 Te.upf
CELL_PARAMETERS angstrom
5.7048 0.0000 0.0000
-2.8524 4.9405 0.0000
0.0000 0.0000 6.7274
ATOMIC_POSITIONS crystal
O 0.8322 0.1642 0.2972
O 0.8358 0.6680 0.2972
O 0.3333 0.6667 0.0225
O 0.1678 0.8358 0.7028
Ag 0.0000 0.0000 0.0000
O 0.6680 0.8322 0.7028
O 0.6667 0.3333 0.9775
Cr 0.6667 0.3333 0.2166
O 0.3320 0.1678 0.2972
Te 0.0000 0.0000 0.5000
O 0.1642 0.3320 0.7028
Cr 0.3333 0.6667 0.7834